1.
# Pm8AlAu2 | the Alexandria database | GGA-PBE | optimized geometry
data_Pm8AlAu2
_chemical_formula_sum 'Pm16 Al2 Au4'
_cell_length_a 5.020
_cell_length_b 8.387
_cell_length_c 15.198
_cell_angle_alpha 90.00
_cell_angle_beta 90.00
_cell_angle_gamma 90.00
_symmetry_space_group_name_H-M 'I m m m'
_symmetry_Int_Tables_number 71
_symmetry_space_group_name_Hall '-I 2 2'
loop_
_atom_site_label
_atom_site_type_symbol
_atom_site_fract_x
_atom_site_fract_y
_atom_site_fract_z
Pm1 Pm 0.000 0.000 0.134
Pm2 Pm 0.000 0.224 0.336
Pm3 Pm 0.000 0.312 0.000
Al1 Al 0.000 0.500 0.500
Au1 Au 0.000 0.500 0.195
# N(E_F) (states/eV per atom): 1.425
# Energy above the most stable polymorph in this dataset (kcal/mol of atoms): 1.82
# Total magnetic moment (μB/f.u.): 0.0

***

2.
# PmAlAu6 | the Alexandria database | GGA-PBE | optimized geometry
data_PmAlAu6
_chemical_formula_sum 'Pm1 Al1 Au6'
_cell_length_a 4.598
_cell_length_b 6.713
_cell_length_c 5.092
_cell_angle_alpha 90.00
_cell_angle_beta 90.00
_cell_angle_gamma 90.00
_symmetry_space_group_name_H-M 'P m m 2'
_symmetry_Int_Tables_number 25
_symmetry_space_group_name_Hall 'P 2 -2'
loop_
_atom_site_label
_atom_site_type_symbol
_atom_site_fract_x
_atom_site_fract_y
_atom_site_fract_z
Pm1 Pm 0.000 0.000 0.000
Al1 Al 0.500 0.500 0.324
Au1 Au 0.000 0.279 0.502
Au2 Au 0.000 0.500 0.026
Au3 Au 0.500 0.000 0.415
Au4 Au 0.500 0.283 0.848
# N(E_F) (states/eV per atom): 0.403
# Energy above the most stable polymorph in this dataset (kcal/mol of atoms): 0.29
# Total magnetic moment (μB/f.u.): 0.0

***

3.
# Pm3Al2Au | the Alexandria database | GGA-PBE | optimized geometry
data_Pm3Al2Au
_chemical_formula_sum 'Pm3 Al2 Au1'
_cell_length_a 3.612
_cell_length_b 3.612
_cell_length_c 11.662
_cell_angle_alpha 90.00
_cell_angle_beta 90.00
_cell_angle_gamma 90.00
_symmetry_space_group_name_H-M 'P 4/m m m'
_symmetry_Int_Tables_number 123
_symmetry_space_group_name_Hall '-P 4 2'
loop_
_atom_site_label
_atom_site_type_symbol
_atom_site_fract_x
_atom_site_fract_y
_atom_site_fract_z
Pm1 Pm 0.000 0.000 0.000
Pm2 Pm 0.000 0.000 0.335
Al1 Al 0.500 0.500 0.169
Au1 Au 0.500 0.500 0.500
# N(E_F) (states/eV per atom): 0.876
# Total magnetic moment (μB/f.u.): 0.0
# DFT total energy (eV per atom): -4.657

***

4.
# Pm3Al8Au3 | the Alexandria database | GGA-PBE | optimized geometry
data_Pm3Al8Au3
_chemical_formula_sum 'Pm6 Al16 Au6'
_cell_length_a 16.147
_cell_length_b 4.445
_cell_length_c 9.768
_cell_angle_alpha 90.00
_cell_angle_beta 126.85
_cell_angle_gamma 90.00
_symmetry_space_group_name_H-M 'C 1 2/m 1'
_symmetry_Int_Tables_number 12
_symmetry_space_group_name_Hall '-C 2y'
loop_
_atom_site_label
_atom_site_type_symbol
_atom_site_fract_x
_atom_site_fract_y
_atom_site_fract_z
Pm1 Pm 0.000 0.000 0.000
Pm2 Pm 0.199 0.500 0.696
Al1 Al 0.002 0.500 0.698
Al2 Al 0.138 0.000 0.858
Al3 Al 0.143 0.000 0.423
Al4 Al 0.160 0.500 0.035
Au1 Au 0.000 0.000 0.500
Au2 Au 0.155 0.500 0.296
# N(E_F) (states/eV per atom): 0.526
# Total magnetic moment (μB/f.u.): 0.0
# DFT total energy (eV per atom): -4.441

***

5.
# PmAl4Au3 | the Alexandria database | GGA-PBE | optimized geometry
data_PmAl4Au3
_chemical_formula_sum 'Pm1 Al4 Au3'
_cell_length_a 4.241
_cell_length_b 4.241
_cell_length_c 8.811
_cell_angle_alpha 90.00
_cell_angle_beta 90.00
_cell_angle_gamma 90.00
_symmetry_space_group_name_H-M 'P 4/m m m'
_symmetry_Int_Tables_number 123
_symmetry_space_group_name_Hall '-P 4 2'
loop_
_atom_site_label
_atom_site_type_symbol
_atom_site_fract_x
_atom_site_fract_y
_atom_site_fract_z
Pm1 Pm 0.000 0.000 0.000
Al1 Al 0.000 0.500 0.325
Au1 Au 0.000 0.000 0.500
Au2 Au 0.500 0.500 0.156
# N(E_F) (states/eV per atom): 0.176
# Total magnetic moment (μB/f.u.): 0.0
# DFT total energy (eV per atom): -4.316

***

6.
# PmAlAu6 | the Alexandria database | GGA-PBE | optimized geometry
data_PmAlAu6
_chemical_formula_sum 'Pm1 Al1 Au6'
_cell_length_a 4.077
_cell_length_b 4.077
_cell_length_c 9.999
_cell_angle_alpha 90.00
_cell_angle_beta 90.00
_cell_angle_gamma 90.00
_symmetry_space_group_name_H-M 'P 4/m m m'
_symmetry_Int_Tables_number 123
_symmetry_space_group_name_Hall '-P 4 2'
loop_
_atom_site_label
_atom_site_type_symbol
_atom_site_fract_x
_atom_site_fract_y
_atom_site_fract_z
Pm1 Pm 0.000 0.000 0.000
Al1 Al 0.000 0.000 0.500
Au1 Au 0.000 0.500 0.336
Au2 Au 0.500 0.500 0.134
# N(E_F) (states/eV per atom): 0.409
# Energy above the most stable polymorph in this dataset (kcal/mol of atoms): 0.00
# Total magnetic moment (μB/f.u.): 0.0

***

7.
# PmAl2Au | the Alexandria database | GGA-PBE | optimized geometry
data_PmAl2Au
_chemical_formula_sum 'Pm3 Al6 Au3'
_cell_length_a 4.3390
_cell_length_b 4.3390
_cell_length_c 15.9669
_cell_angle_alpha 90.00
_cell_angle_beta 90.00
_cell_angle_gamma 120.00
_symmetry_space_group_name_H-M 'R -3 m'
_symmetry_Int_Tables_number 166
_symmetry_space_group_name_Hall '-R 3 2"'
loop_
_atom_site_label
_atom_site_type_symbol
_atom_site_fract_x
_atom_site_fract_y
_atom_site_fract_z
Pm1 Pm 0.0000 0.0000 0.0000
Al1 Al 0.0000 0.0000 0.2122
Au1 Au 0.0000 0.0000 0.5000
# N(E_F) (states/eV per atom): 0.555
# Energy above the most stable polymorph in this dataset (kcal/mol of atoms): 2.18
# Total magnetic moment (μB/f.u.): 0.0

***

8.
# PmAlAu5 | the Alexandria database | GGA-PBE | optimized geometry
data_PmAlAu5
_chemical_formula_sum 'Pm4 Al4 Au20'
_cell_length_a 8.924
_cell_length_b 5.634
_cell_length_c 11.160
_cell_angle_alpha 90.00
_cell_angle_beta 90.00
_cell_angle_gamma 90.00
_symmetry_space_group_name_H-M 'P n m a'
_symmetry_Int_Tables_number 62
_symmetry_space_group_name_Hall '-P 2ac 2n'
loop_
_atom_site_label
_atom_site_type_symbol
_atom_site_fract_x
_atom_site_fract_y
_atom_site_fract_z
Pm1 Pm 0.248 0.250 0.061
Al1 Al 0.172 0.750 0.846
Au1 Au 0.053 0.012 0.289
Au2 Au 0.074 0.750 0.057
Au3 Au 0.099 0.250 0.517
Au4 Au 0.187 0.250 0.792
# N(E_F) (states/eV per atom): 0.401
# Energy above the most stable polymorph in this dataset (kcal/mol of atoms): 0.00
# Total magnetic moment (μB/f.u.): 0.0

***

9.
# PmAl3Au2 | the Alexandria database | GGA-PBE | optimized geometry
data_PmAl3Au2
_chemical_formula_sum 'Pm6 Al18 Au12'
_cell_length_a 16.887
_cell_length_b 4.263
_cell_length_c 10.206
_cell_angle_alpha 90.00
_cell_angle_beta 104.81
_cell_angle_gamma 90.00
_symmetry_space_group_name_H-M 'C 1 2/m 1'
_symmetry_Int_Tables_number 12
_symmetry_space_group_name_Hall '-C 2y'
loop_
_atom_site_label
_atom_site_type_symbol
_atom_site_fract_x
_atom_site_fract_y
_atom_site_fract_z
Pm1 Pm 0.000 0.000 0.000
Pm2 Pm 0.158 0.000 0.706
Al1 Al 0.000 0.500 0.500
Al2 Al 0.043 0.000 0.360
Al3 Al 0.128 0.500 0.197
Al4 Al 0.164 0.500 0.956
Al5 Al 0.213 0.000 0.376
Au1 Au 0.025 0.500 0.778
Au2 Au 0.147 0.500 0.459
Au3 Au 0.199 0.000 0.115
# N(E_F) (states/eV per atom): 0.319
# Energy above the most stable polymorph in this dataset (kcal/mol of atoms): 0.00
# Total magnetic moment (μB/f.u.): 0.0

***

10.
# Pm2AlAu5 | the Alexandria database | GGA-PBE | optimized geometry
data_Pm2AlAu5
_chemical_formula_sum 'Pm4 Al2 Au10'
_cell_length_a 6.485
_cell_length_b 6.485
_cell_length_c 8.634
_cell_angle_alpha 90.00
_cell_angle_beta 90.00
_cell_angle_gamma 90.00
_symmetry_space_group_name_H-M 'I 4 m m'
_symmetry_Int_Tables_number 107
_symmetry_space_group_name_Hall 'I 4 -2'
loop_
_atom_site_label
_atom_site_type_symbol
_atom_site_fract_x
_atom_site_fract_y
_atom_site_fract_z
Pm1 Pm 0.000 0.500 0.000
Al1 Al 0.000 0.000 0.195
Au1 Au 0.000 0.000 0.498
Au2 Au 0.223 0.223 0.752
# N(E_F) (states/eV per atom): 0.572
# Total magnetic moment (μB/f.u.): 0.0
# DFT total energy (eV per atom): -4.269